Entry 1:
This record from the Alexandria database describes an optimized crystal structure of AgBi4. The functional is PBE.

Values from the calculation:
Formation energy (meV per atom): 513
Magnetic moment (μB/cell): 0.000
Symmetry: Pm-3m

```
AgBi4
1.0
-3.9210 1.2876 -3.6841
-0.7221 -5.3716 -1.1089
-3.8352 -0.3051 3.9753
Bi Ag
4 1
Direct
0.5000 0.5000 0.0000 Bi
0.0000 0.5000 0.5000 Bi
0.0000 0.0000 0.0000 Bi
0.5000 0.0000 0.5000 Bi
0.5000 0.5000 0.5000 Ag
```

Entry 2:
This record from the Alexandria database describes an optimized crystal structure of AgBi. The functional is PBE.

Values from the calculation:
Formation energy (meV per atom): 80
Magnetic moment (μB/cell): 0.000
Symmetry: P2_1/m

```
AgBi
1.0
4.1353 0.0000 0.0388
0.0000 4.4638 0.0000
-1.9876 0.0000 5.4175
Ag Bi
2 2
Direct
0.0783 0.7500 0.1670 Ag
0.9217 0.2500 0.8330 Ag
0.6289 0.2500 0.2833 Bi
0.3711 0.7500 0.7167 Bi
```

Entry 3:
This record from the Alexandria database describes an optimized crystal structure of AgBi. The functional is PBE.

Values from the calculation:
Formation energy (meV per atom): 133
Magnetic moment (μB/cell): 0.000
Symmetry: Amm2

```
AgBi
1.0
3.4869 0.0000 0.0000
0.0000 12.8986 0.0000
0.0000 0.0000 7.0838
Bi Ag
6 6
Direct
0.0000 0.2310 0.2974 Bi
0.0000 0.7690 0.2974 Bi
0.0000 0.0000 0.9028 Bi
0.0000 0.7310 0.7974 Bi
0.0000 0.2690 0.7974 Bi
0.0000 0.5000 0.4028 Bi
0.0000 0.0000 0.3203 Ag
0.5000 0.1104 0.5920 Ag
0.5000 0.6105 0.0920 Ag
0.5000 0.8896 0.5920 Ag
0.0000 0.5000 0.8203 Ag
0.5000 0.3896 0.0920 Ag
```

Entry 4:
This record from the Alexandria database describes an optimized crystal structure of Ag5BiBr12. The functional is PBE.

Values from the calculation:
Magnetic moment (μB/cell): 1.544
E_form (uncorrected) (kJ per mole of atoms): -29
Symmetry: C2/m

```
Ag5BiBr12
1.0
-4.0743 -3.2464 4.4899
-5.4561 -3.9525 -2.5418
8.7564 -10.0341 -1.3715
Br Ag Bi
12 5 1
Direct
0.3257 0.6697 0.8820 Br
0.1164 0.3335 0.3865 Br
0.5501 0.3335 0.6135 Br
0.2162 0.0000 0.6129 Br
0.7838 0.0000 0.3871 Br
0.4499 0.6665 0.3865 Br
0.6743 0.3303 0.1180 Br
0.3569 0.0000 0.1308 Br
0.6431 0.0000 0.8692 Br
0.9954 0.3303 0.8820 Br
0.0046 0.6697 0.1180 Br
0.8836 0.6665 0.6135 Br
0.3404 0.3191 0.0000 Ag
0.6596 0.6809 0.0000 Ag
0.8328 0.3344 0.5000 Ag
0.5000 0.0000 0.5000 Ag
0.1672 0.6657 0.5000 Ag
0.0000 0.0000 0.0000 Bi
```